Material: PrInGe2Pt5
Method: DFT, GGA-PBE
State: optimized geometry

CIF file:
```
data_PrInGe2Pt5
_chemical_formula_sum 'Pr1 In1 Ge2 Pt5'
_symmetry_space_group_name_H-M 'P 1'
_symmetry_Int_Tables_number 1
_cell_length_a 4.446
_cell_length_b 4.446
_cell_length_c 8.671
_cell_angle_alpha 90.00
_cell_angle_beta 90.00
_cell_angle_gamma 90.00
loop_
_symmetry_equiv_pos_as_xyz
'x,y,z'
loop_
_atom_site_label
_atom_site_fract_x
_atom_site_fract_y
_atom_site_fract_z
Pr1 0.000 0.000 0.000
In1 0.000 0.000 0.500
Ge1 0.500 0.500 0.359
Ge2 0.500 0.500 0.641
Pt1 0.000 0.500 0.236
Pt2 0.000 0.500 0.764
Pt3 0.500 0.000 0.236
Pt4 0.500 0.000 0.764
Pt5 0.500 0.500 0.000
```

crystal system = tetragonal
uncorrected energy = -0.211 hartree per atom
SG = No. 123
formation energy from the elements = -0.5313 eV per atom